DFT (PBE-GGA) results for a geometry-optimized TmZnF5 structure.

Cell: 5.5943 5.5943 7.4787 Å, 70.91 70.91 73.82°
With the nearest neighbours (Å) after each atom.
Sites, in units of the cell vectors:
F1 0.3080 0.6722 0.4628  1 Zn 2.16, 2 Tm 2.22-2.35
F2 0.2700 0.2149 0.3731  1 Zn 1.99, 1 Tm 2.11
F3 0.7300 0.7851 0.6269  1 Zn 1.99, 1 Tm 2.11
F4 0.7851 0.7300 0.1269  1 Zn 1.99, 1 Tm 2.11
F5 0.6722 0.3080 0.9628  1 Zn 2.16, 2 Tm 2.22-2.35
F6 0.2149 0.2700 0.8731  1 Zn 1.99, 1 Tm 2.11
F7 0.1178 0.8822 0.7500  2 Zn 2.03, 1 Tm 2.22
F8 0.3278 0.6920 0.0372  1 Zn 2.16, 2 Tm 2.22-2.35
F9 0.6920 0.3278 0.5372  1 Zn 2.16, 2 Tm 2.22-2.35
F10 0.8822 0.1178 0.2500  2 Zn 2.03, 1 Tm 2.22
Zn1 0.0000 0.0000 0.5000  6 F 1.99-2.16
Zn2 0.0000 0.0000 0.0000  6 F 1.99-2.16
Tm1 0.4476 0.5524 0.7500  7 F 2.11-2.35
Tm2 0.5524 0.4476 0.2500  7 F 2.11-2.35

Computed properties:
* size of the total moment: 0.00 μB/f.u.
* E: -5.5136 eV/atom